[1]
LaNdHo2: optimized geometry, GGA-PBE.

Calculated formation energy   0.02 eV/atom
E   -4.692 eV/atom
E above lowest polymorph   0.03 eV/f.u.
M_tot   0.00 μB/cell

Geometry as extended XYZ:
```
4
Lattice="1.818 1.050 11.703 -1.818 1.050 11.703 0.000 -2.099 11.703" Properties=species:S:1:pos:R:3 pbc="T T T"
La 0.000 0.000 0.000
Nd 0.000 0.000 29.283
Ho 0.000 0.000 14.633
Ho 0.000 0.000 20.476
```

=====

[2]
La16Nd6Ho7: optimized geometry, GGA-PBE.

Calculated formation energy   0.18 eV/atom
E   -4.628 eV/atom
M_tot   0.17 μB/cell

Geometry as extended XYZ:
```
29
Lattice="0.000 8.054 8.054 8.054 0.000 8.054 8.054 8.054 0.000" Properties=species:S:1:pos:R:3 pbc="T T T"
La 10.547 5.562 5.562
La 1.944 1.944 1.944
La 6.110 6.110 1.944
La 6.110 1.944 6.110
La 5.562 5.562 5.562
La 10.547 10.547 5.562
La 10.547 5.562 10.547
La 14.164 9.999 9.999
La 1.944 6.110 6.110
La 5.562 10.547 5.562
La 5.562 5.562 10.547
La 10.547 10.547 10.547
La 9.999 14.164 9.999
La 9.999 9.999 14.164
La 14.164 14.164 14.164
La 5.562 10.547 10.547
Nd 8.054 8.054 4.812
Nd 8.054 4.812 8.054
Nd 11.297 8.054 8.054
Nd 4.812 8.054 8.054
Nd 8.054 11.297 8.054
Nd 8.054 8.054 11.297
Ho 0.000 0.000 0.000
Ho 4.027 4.027 0.000
Ho 4.027 0.000 4.027
Ho 8.054 4.027 4.027
Ho 0.000 4.027 4.027
Ho 4.027 8.054 4.027
Ho 4.027 4.027 8.054
```

=====

[3]
La8Nd3Ho: optimized geometry, GGA-PBE.

Calculated formation energy   0.49 eV/atom
E   -4.371 eV/atom
M_tot   0.00 μB/cell

Geometry as extended XYZ:
```
12
Lattice="-4.472 4.472 5.878 4.472 -4.472 5.878 4.472 4.472 -5.878" Properties=species:S:1:pos:R:3 pbc="T T T"
La 3.383 3.383 -2.939
La 2.240 2.240 -0.017
La 2.232 -2.232 5.895
La 1.088 1.088 2.939
La 1.088 -1.088 8.816
La 2.232 2.232 5.860
La -2.232 2.232 5.895
La -1.088 1.088 8.816
Nd 4.472 0.000 2.939
Nd 0.000 0.000 5.878
Nd 0.000 4.472 2.939
Ho 0.000 0.000 0.000
```

=====

Q: calculated formation energy of number 3 (La8Nd3Ho)?
A: 0.49 eV/atom